Record 1
Hf4MoS: optimized geometry, PBE-GGA.

Calculated values
- Crystal system: monoclinic
- Total energy: -9.6486 eV per atom
- E_form (uncorrected): -3.12 eV per formula unit

Unit cell a=5.953 b=5.953 c=8.148 alpha=128.20 beta=128.20 gamma=33.24
Atoms (fractional coordinates):
Hf1 0.077 0.077 0.347
Hf2 0.239 0.239 0.143
Hf3 0.761 0.761 0.857
Hf4 0.923 0.923 0.653
Mo1 0.500 0.500 0.000
S1 0.500 0.500 0.500



Record 2
Hf8Mo5S: optimized geometry, PBE-GGA.

Calculated values
- Crystal system: orthorhombic
- Total energy: -10.0941 eV per atom
- E_form (uncorrected): -3.41 eV per formula unit

Unit cell a=8.458 b=8.422 c=8.422 alpha=65.25 beta=90.00 gamma=90.00
Atoms (fractional coordinates):
Hf1 0.000 0.057 0.703
Hf2 0.000 0.065 0.065
Hf3 0.000 0.703 0.057
Hf4 0.195 0.399 0.399
Hf5 0.204 0.000 0.421
Hf6 0.204 0.421 0.000
Hf7 0.308 0.214 0.786
Hf8 0.308 0.786 0.214
Hf9 0.311 0.809 0.809
Hf10 0.500 0.159 0.159
Hf11 0.689 0.809 0.809
Hf12 0.692 0.214 0.786
Hf13 0.692 0.786 0.214
Hf14 0.796 0.000 0.421
Hf15 0.796 0.421 0.000
Hf16 0.805 0.399 0.399
Mo1 0.000 0.384 0.713
Mo2 0.000 0.713 0.384
Mo3 0.000 0.716 0.716
Mo4 0.253 0.604 0.604
Mo5 0.500 0.161 0.491
Mo6 0.500 0.483 0.483
Mo7 0.500 0.491 0.161
Mo8 0.500 0.500 0.824
Mo9 0.500 0.824 0.500
Mo10 0.747 0.604 0.604
S1 0.000 0.251 0.251
S2 0.500 0.963 0.963



Record 3
HfMo6S8: optimized geometry, PBE-GGA.

Calculated values
- Crystal system: trigonal
- Total energy: -7.9584 eV per atom
- E_form (uncorrected): -11.42 eV per formula unit

Unit cell a=6.397 b=6.397 c=6.397 alpha=89.97 beta=89.97 gamma=89.97
Atoms (fractional coordinates):
Hf1 0.000 0.000 0.000
Mo1 0.218 0.421 0.558
Mo2 0.421 0.558 0.218
Mo3 0.442 0.782 0.579
Mo4 0.558 0.218 0.421
Mo5 0.579 0.442 0.782
Mo6 0.782 0.579 0.442
S1 0.130 0.760 0.355
S2 0.230 0.230 0.230
S3 0.240 0.645 0.870
S4 0.355 0.130 0.760
S5 0.645 0.870 0.240
S6 0.760 0.355 0.130
S7 0.770 0.770 0.770
S8 0.870 0.240 0.645